## Co5As3 (GGA-PBE)

Data for an optimized crystal structure of Co5As3.

a = 6.842 Å, b = 6.842 Å, c = 5.005 Å
α = 90.00°, β = 90.00°, γ = 120.00°
Fractional positions:
Co1 0.000 0.293 0.250
Co2 0.000 0.707 0.750
Co3 0.293 0.000 0.250
Co4 0.293 0.293 0.750
Co5 0.333 0.667 0.000
Co6 0.333 0.667 0.500
Co7 0.667 0.333 0.000
Co8 0.667 0.333 0.500
Co9 0.707 0.000 0.750
Co10 0.707 0.707 0.250
As1 0.000 0.369 0.750
As2 0.000 0.631 0.250
As3 0.369 0.000 0.750
As4 0.369 0.369 0.250
As5 0.631 0.000 0.250
As6 0.631 0.631 0.750

=====

## CoAs2 (GGA-PBE)

Data for an optimized crystal structure of CoAs2.

a = 12.584 Å, b = 12.584 Å, c = 12.584 Å
α = 166.86°, β = 166.86°, γ = 18.62°
Fractional positions:
Co1 0.374 0.124 0.250
Co2 0.626 0.876 0.750
As1 0.066 0.316 0.750
As2 0.186 0.436 0.750
As3 0.814 0.564 0.250
As4 0.934 0.684 0.250

=====

## CoAs2 (GGA-PBE)

Data for an optimized crystal structure of CoAs2.

a = 4.086 Å, b = 4.086 Å, c = 2.979 Å
α = 90.00°, β = 90.00°, γ = 90.00°
Fractional positions:
Co1 0.000 0.000 0.000
As1 0.000 0.500 0.500
As2 0.500 0.000 0.500

=====

## CoAs3 (GGA-PBE)

Data for an optimized crystal structure of CoAs3.

a = 4.598 Å, b = 4.598 Å, c = 3.102 Å
α = 90.00°, β = 90.00°, γ = 90.00°
Fractional positions:
Co1 0.000 0.000 0.000
As1 0.000 0.500 0.500
As2 0.500 0.000 0.500
As3 0.500 0.500 0.000

=====

Number 1: DFT formation energy -35 meV per atom, D(E_F) 1.0390 states/eV per atom. Number 2: DFT formation energy -19 meV per atom, D(E_F) 0.9840 states/eV per atom. Number 3: DFT formation energy 218 meV per atom, D(E_F) 0.9037 states/eV per atom. Number 4: DFT formation energy 487 meV per atom, D(E_F) 0.9874 states/eV per atom.